First-principles (PBE with a Hubbard U) data for an optimized crystal structure of Li4Mn3CoO8, as listed in the Alexandria database.

Unit cell a=10.4162 b=5.9458 c=10.3680 alpha=90.00 beta=110.80 gamma=90.00
Last column: nearest neighbours and their distance in Å.
Space group C2/c (No. 15)
Asymmetric unit:
Li1 0.0000 0.2315 0.2500 x4  6 O 2.06-2.30
Li2 0.0000 0.2536 0.7500 x4  6 O 2.10-2.15
Li3 0.2502 0.0142 0.7442 x8  4 O 2.03-2.25
Mn1 0.0000 0.0000 0.0000 x4  6 O 1.95-1.97
Mn2 0.0000 0.5000 0.0000 x4  6 O 1.99-2.20
Mn3 0.2500 0.2500 0.0000 x4  4 O 1.97-1.98
Co1 0.2500 0.2500 0.5000 x4  6 O 2.09-2.14
O1 0.1112 0.2480 0.6104 x8  2 Mn 1.97-1.99, 2 Li 2.13-2.15, 1 Co 2.14
O2 0.1180 0.2208 0.1271 x8  1 Mn 1.95, 2 Li 2.03-2.06
O3 0.1217 0.0143 0.8925 x8  2 Mn 1.96-1.98, 1 Co 2.11, 2 Li 2.12-2.14
O4 0.1243 0.4864 0.8923 x8  2 Mn 1.97-1.99, 1 Co 2.09, 1 Li 2.10

Values from the calculation:
* ΔE to the lowest computed polymorph: 0 meV per atom
* DFT total energy: -407.451 eV for the cell shown
* magnetization: 56.00 μB per cell